Crystalline PmPrHoAl at its relaxed geometry, computed with GGA-PBE.

Unit cell a=7.716 b=7.716 c=7.716 alpha=90.00 beta=90.00 gamma=90.00
Space group F-43m (No. 216)
Inequivalent atoms, fractional coordinates:
Pm 0.000 0.000 0.000 x4
Pr 0.000 0.000 0.500 x4
Ho 0.250 0.250 0.750 x4
Al 0.250 0.250 0.250 x4

Its relative energy among the computed polymorphs is 118.5 meV per atom.

=====

Crystalline PmHoAlPt at its relaxed geometry, computed with GGA-PBE.

Unit cell a=7.198 b=7.198 c=7.198 alpha=90.00 beta=90.00 gamma=90.00
Space group F-43m (No. 216)
Inequivalent atoms, fractional coordinates:
Pm 0.000 0.000 0.000 x4
Ho 0.000 0.000 0.500 x4
Al 0.250 0.250 0.250 x4
Pt 0.250 0.250 0.750 x4

The calculated total energy comes out at -5.46 eV per atom.

=====

Crystalline Pm2HoAl3Pt4 at its relaxed geometry, computed with GGA-PBE.

Unit cell a=4.356 b=4.356 c=10.864 alpha=90.00 beta=90.00 gamma=90.00
Space group P-4m2 (No. 115)
Inequivalent atoms, fractional coordinates:
Pm 0.000 0.500 0.229 x2
Ho 0.000 0.000 0.500 x1
Al 0.000 0.500 0.882 x2
Al 0.500 0.500 0.500 x1
Pt 0.000 0.000 0.000 x1
Pt 0.000 0.500 0.654 x2
Pt 0.500 0.500 0.000 x1

The calculated total energy comes out at -6.01 eV per atom.

=====

Crystalline PmHoAlRu at its relaxed geometry, computed with GGA-PBE.

Unit cell a=7.088 b=7.088 c=7.088 alpha=90.00 beta=90.00 gamma=90.00
Space group F-43m (No. 216)
Inequivalent atoms, fractional coordinates:
Pm 0.000 0.000 0.000 x4
Ho 0.000 0.000 0.500 x4
Al 0.250 0.250 0.250 x4
Ru 0.250 0.250 0.750 x4

The calculated total energy comes out at -5.87 eV per atom.

=====

Crystalline PmHo2AlS6 at its relaxed geometry, computed with GGA-PBE.

Unit cell a=6.7573 b=6.7573 c=17.9967 alpha=90.00 beta=90.00 gamma=120.00
Space group R3 (No. 146, hexagonal axes)
Inequivalent atoms, fractional coordinates:
Pm 0.0000 0.0000 0.0000 x3
Ho 0.0000 0.0000 0.2900 x3
Ho 0.0000 0.0000 0.7961 x3
Al 0.0000 0.0000 0.4913 x3
S 0.0006 0.7179 0.4019 x9
S 0.0035 0.3689 0.2271 x9

The value obtained for the formation energy from raw total energies is -1.73 eV per atom.

=====

Crystalline PmHoScAl at its relaxed geometry, computed with GGA-PBE.

Unit cell a=7.458 b=7.458 c=7.458 alpha=90.00 beta=90.00 gamma=90.00
Space group F-43m (No. 216)
Inequivalent atoms, fractional coordinates:
Pm 0.000 0.000 0.000 x4
Ho 0.000 0.000 0.500 x4
Sc 0.250 0.250 0.250 x4
Al 0.250 0.250 0.750 x4

The calculated total energy comes out at -4.95 eV per atom.

=====

Crystalline PmHoAlSn at its relaxed geometry, computed with GGA-PBE.

Unit cell a=7.478 b=7.478 c=7.478 alpha=90.00 beta=90.00 gamma=90.00
Space group F-43m (No. 216)
Inequivalent atoms, fractional coordinates:
Pm 0.000 0.000 0.000 x4
Ho 0.000 0.000 0.500 x4
Al 0.250 0.250 0.250 x4
Sn 0.250 0.250 0.750 x4

The calculated total energy comes out at -4.71 eV per atom.

=====

Crystalline PmHoTiAl at its relaxed geometry, computed with GGA-PBE.

Unit cell a=7.333 b=7.333 c=7.333 alpha=90.00 beta=90.00 gamma=90.00
Space group F-43m (No. 216)
Inequivalent atoms, fractional coordinates:
Pm 0.000 0.000 0.000 x4
Ho 0.000 0.000 0.500 x4
Ti 0.250 0.250 0.250 x4
Al 0.250 0.250 0.750 x4

The calculated total energy comes out at -5.27 eV per atom.